# 1
A relaxed Ba2NaBi2 crystal. Source: Alexandria via LeMat-Bulk, functional GGA-PBE.

a b c (Å): 5.2036 6.8638 6.8638
angles (deg): 67.55 67.72 67.72
Fractional coordinates of all 5 atoms:
Na 0.5000 0.5000 0.0000
Bi 0.0000 0.7662 0.7338
Bi 0.0000 0.2338 0.2662
Ba 0.6970 0.8030 0.3030
Ba 0.3030 0.1970 0.6970

Calculated values
Its space group is No. 71. Its energy above the most stable polymorph in this dataset is 0 meV per atom. For the density of states at the Fermi level, the calculation gives 1.43 states/eV per cell. The calculation puts the total energy at -3.338 eV/atom. The calculation puts the formation enthalpy at 0 K at -0.75 eV/atom.


# 2
A relaxed Ba2NaBi crystal. Source: Alexandria via LeMat-Bulk, functional GGA-PBE.

a b c (Å): 4.0622 4.0622 13.9685
angles (deg): 81.64 81.64 60.00
Fractional coordinates of all 4 atoms:
Ba 0.9164 0.9164 0.2508
Ba 0.0836 0.0836 0.7492
Bi 0.0000 0.0000 0.0000
Na 0.5000 0.5000 0.5000

Calculated values
Its space group is No. 166. For the density of states at the Fermi level, the calculation gives 3.45 states/eV per cell. The calculation puts the total energy at -2.156 eV/atom. The calculation puts the formation enthalpy at 0 K at 0.11 eV/atom.


# 3
A relaxed Ba3NaBi6 crystal. Source: Alexandria via LeMat-Bulk, functional GGA-PBE.

a b c (Å): 9.3190 9.3190 9.3190
angles (deg): 98.11 98.11 98.11
Fractional coordinates of all 20 atoms:
Ba 0.8167 0.2500 0.6833
Ba 0.2500 0.6833 0.8167
Ba 0.1833 0.7500 0.3167
Ba 0.7500 0.3167 0.1833
Ba 0.6833 0.8167 0.2500
Ba 0.3167 0.1833 0.7500
Bi 0.3701 0.0148 0.0860
Bi 0.0860 0.3701 0.0148
Bi 0.5859 0.5147 0.8701
Bi 0.4141 0.4853 0.1299
Bi 0.5147 0.8701 0.5859
Bi 0.6299 0.9852 0.9140
Bi 0.4853 0.1299 0.4141
Bi 0.8701 0.5859 0.5147
Bi 0.0148 0.0860 0.3701
Bi 0.1299 0.4141 0.4853
Bi 0.9852 0.9140 0.6299
Bi 0.9140 0.6299 0.9852
Na 0.5000 0.5000 0.5000
Na 0.0000 0.0000 0.0000

Calculated values
Its space group is No. 167. For the density of states at the Fermi level, the calculation gives 12.63 states/eV per cell. The calculation puts the total energy at -3.576 eV/atom. The calculation puts the formation enthalpy at 0 K at -0.54 eV/atom.


# 4
A relaxed Ba2NaBi6 crystal. Source: Alexandria via LeMat-Bulk, functional GGA-PBE.

a b c (Å): 6.7711 7.5551 7.5455
angles (deg): 120.04 89.96 90.00
Fractional coordinates of all 9 atoms:
Bi 0.6759 0.3855 0.1925
Bi 0.3245 0.1926 0.3851
Bi 0.3241 0.6145 0.8075
Bi 0.3241 0.1930 0.8075
Bi 0.6755 0.8074 0.6149
Bi 0.6759 0.8070 0.1925
Ba 0.1894 0.6669 0.3338
Ba 0.8106 0.3331 0.6662
Na 0.0000 0.0000 0.0000

Calculated values
Its space group is No. 12. For the density of states at the Fermi level, the calculation gives 4.22 states/eV per cell. The calculation puts the total energy at -3.608 eV/atom. The calculation puts the formation enthalpy at 0 K at -0.45 eV/atom.


# 5
A relaxed Ba2NaBi2 crystal. Source: Alexandria via LeMat-Bulk, functional GGA-PBE.

a b c (Å): 4.8888 4.8888 10.7577
angles (deg): 76.87 76.87 90.00
Fractional coordinates of all 5 atoms:
Bi 0.7500 0.2500 0.5000
Bi 0.2500 0.7500 0.5000
Ba 0.6225 0.6225 0.7549
Ba 0.3775 0.3775 0.2451
Na 0.0000 0.0000 0.0000

Calculated values
Its space group is No. 139. Its energy above the most stable polymorph in this dataset is 408 meV per atom. For the density of states at the Fermi level, the calculation gives 4.16 states/eV per cell. The calculation puts the total energy at -2.931 eV/atom. The calculation puts the formation enthalpy at 0 K at -0.35 eV/atom.


# 6
A relaxed Ba2NaBi4 crystal. Source: Alexandria via LeMat-Bulk, functional GGA-PBE.

a b c (Å): 7.0687 7.0687 7.2961
angles (deg): 118.98 118.98 90.01
Fractional coordinates of all 7 atoms:
Na 0.7858 0.7858 0.5714
Ba 0.7855 0.2858 0.5714
Ba 0.2858 0.7855 0.5714
Bi 0.2857 0.2857 0.0712
Bi 0.7856 0.2857 0.0714
Bi 0.7859 0.7859 0.0716
Bi 0.2857 0.7856 0.0714

Calculated values
Its space group is No. 139. For the density of states at the Fermi level, the calculation gives 3.26 states/eV per cell. The calculation puts the total energy at -3.487 eV/atom. The calculation puts the formation enthalpy at 0 K at -0.53 eV/atom.


# 7
A relaxed Ba2NaBi2 crystal. Source: Alexandria via LeMat-Bulk, functional GGA-PBE.

a b c (Å): 7.3205 7.9479 9.0823
angles (deg): 115.95 113.77 90.00
Fractional coordinates of all 10 atoms:
Na 0.7500 0.5000 0.0000
Na 0.2500 0.5000 0.0000
Bi 0.1171 0.8582 0.2342
Bi 0.3829 0.6241 0.7658
Bi 0.6171 0.3759 0.2342
Bi 0.8829 0.1418 0.7658
Ba 0.1391 0.3336 0.2782
Ba 0.8609 0.6664 0.7218
Ba 0.6391 0.9446 0.2782
Ba 0.3609 0.0554 0.7218

Calculated values
Its space group is No. 72. Its energy above the most stable polymorph in this dataset is 89 meV per atom. For the density of states at the Fermi level, the calculation gives 9.54 states/eV per cell. The calculation puts the total energy at -3.249 eV/atom. The calculation puts the formation enthalpy at 0 K at -0.66 eV/atom.


# 8
A relaxed Ba3Na2Bi3 crystal. Source: Alexandria via LeMat-Bulk, functional GGA-PBE.

a b c (Å): 4.4077 5.5891 13.2570
angles (deg): 77.85 80.42 90.00
Fractional coordinates of all 8 atoms:
Na 0.7466 0.7476 0.5060
Na 0.2534 0.2524 0.4940
Ba 0.0000 0.0000 0.0000
Ba 0.1184 0.6187 0.7625
Ba 0.8816 0.3813 0.2375
Bi 0.5000 0.5000 0.0000
Bi 0.6594 0.1592 0.6814
Bi 0.3406 0.8408 0.3186

Calculated values
Its space group is No. 2. For the density of states at the Fermi level, the calculation gives 5.54 states/eV per cell. The calculation puts the total energy at -3.172 eV/atom. The calculation puts the formation enthalpy at 0 K at -0.67 eV/atom.


# 9
A relaxed Ba2Na2Bi crystal. Source: Alexandria via LeMat-Bulk, functional GGA-PBE.

a b c (Å): 4.5657 4.5657 11.3605
angles (deg): 78.41 78.41 90.00
Fractional coordinates of all 5 atoms:
Ba 0.4164 0.4164 0.1672
Ba 0.5836 0.5836 0.8328
Na 0.2500 0.7500 0.5000
Na 0.7500 0.2500 0.5000
Bi 0.0000 0.0000 0.0000

Calculated values
Its space group is No. 139. Its energy above the most stable polymorph in this dataset is 0 meV per atom. For the density of states at the Fermi level, the calculation gives 4.08 states/eV per cell. The calculation puts the total energy at -2.410 eV/atom. The calculation puts the formation enthalpy at 0 K at -0.34 eV/atom.


# 10
A relaxed Ba2NaBi crystal. Source: Alexandria via LeMat-Bulk, functional GGA-PBE.

a b c (Å): 5.1983 5.1983 9.8619
angles (deg): 74.72 74.72 60.00
Fractional coordinates of all 4 atoms:
Ba 0.0646 0.0646 0.8063
Ba 0.2681 0.2681 0.1958
Na 0.5021 0.5021 0.4938
Bi 0.6653 0.6653 0.0041

Calculated values
Its space group is No. 160. For the density of states at the Fermi level, the calculation gives 0.64 states/eV per cell. The calculation puts the total energy at -2.757 eV/atom. The calculation puts the formation enthalpy at 0 K at -0.50 eV/atom.


# 11
A relaxed BaNa6Bi4 crystal. Source: Alexandria via LeMat-Bulk, functional GGA-PBE.

a b c (Å): 5.3388 8.9030 8.9030
angles (deg): 120.00 90.00 90.00
Fractional coordinates of all 11 atoms:
Bi 0.5000 0.7963 0.5925
Bi 0.5000 0.7963 0.2037
Bi 0.5000 0.4075 0.2037
Bi 0.0000 0.3333 0.6667
Na 0.5000 0.5778 0.7889
Na 0.0000 0.5346 0.0693
Na 0.5000 0.2111 0.4222
Na 0.0000 0.9307 0.4654
Na 0.5000 0.2111 0.7889
Na 0.0000 0.5346 0.4654
Ba 0.0000 0.0000 0.0000

Calculated values
Its space group is No. 187. For the density of states at the Fermi level, the calculation gives 6.69 states/eV per cell. The calculation puts the total energy at -2.628 eV/atom. The calculation puts the formation enthalpy at 0 K at -0.32 eV/atom.